Material: BaTlAg2
Method: DFT, PBE
State: optimized geometry

Cell: 5.3975 5.3975 10.5230 Å, 75.14 75.14 90.00°
Closest atoms and distances in Å follow each position.
Element x y z (fractional)
Tl  0.0000  0.0000  0.0000  4 Ag 2.80
Ba  0.2500  0.7500  0.5000  4 Tl 3.82, 8 Ag 3.88-3.89
Ag  0.8760  0.1250  0.2500  2 Ag 2.70, 2 Tl 2.80
Ba  0.5000  0.5000  0.0000  4 Tl 3.82, 8 Ag 3.88-3.89
Tl  0.7500  0.2500  0.5000  4 Ag 2.80
Ag  0.8740  0.6250  0.2500  2 Ag 2.70, 2 Tl 2.80
Ag  0.3750  0.1240  0.7500  2 Ag 2.70, 2 Tl 2.80
Ag  0.8750  0.1260  0.7500  2 Ag 2.70, 2 Tl 2.80

distance to the lowest polymorph of the same formula	189	meV/atom
SG	I-42d
calculated formation energy	-27	meV per atom

Material: PrNd4Y2Mg
Method: DFT, PBE
State: optimized geometry

Cell: 5.9037 9.6527 5.8984 Å, 52.35 90.00 90.00°
Closest atoms and distances in Å follow each position.
Element x y z (fractional)
Mg  0.5000  0.5000  0.0000  8 Nd 3.48-3.49, 2 Y 3.82
Nd  0.5000  0.7425  0.2570  2 Mg 3.48-3.49, 2 Pr 3.49, 4 Y 3.54-3.55, 1 Nd 3.71
Nd  0.0000  0.7420  0.7583  2 Pr 3.48, 2 Mg 3.48, 4 Y 3.55, 1 Nd 3.70
Nd  0.5000  0.2575  0.7430  2 Mg 3.48-3.49, 2 Pr 3.49, 4 Y 3.54-3.55, 1 Nd 3.71
Y  0.5000  0.0000  0.5000  8 Nd 3.54-3.55, 2 Mg 3.82
Pr  0.0000  0.5000  0.5000  8 Nd 3.48-3.49, 2 Y 3.82
Nd  0.0000  0.2580  0.2417  2 Pr 3.48, 2 Mg 3.48, 4 Y 3.55, 1 Nd 3.70
Y  0.0000  0.0000  0.0000  8 Nd 3.55, 2 Pr 3.82

SG	P4/mmm
calculated formation energy	58	meV per atom

Material: TiVSi
Method: DFT, PBE
State: optimized geometry

Cell: 2.6955 4.2735 4.2735 Å, 120.00 90.00 90.00°
Closest atoms and distances in Å follow each position.
Element x y z (fractional)
Ti  0.6482  0.3333  0.6667  3 V 2.62, 3 Si 2.68, 2 Ti 2.70
V  0.3159  0.6667  0.3333  3 Si 2.58, 3 Ti 2.62, 2 V 2.70
Si  0.0359  0.0000  0.0000  3 V 2.58, 3 Ti 2.68, 2 Si 2.70

SG	P3m1

Material: Ba2BeFe
Method: DFT, PBE
State: optimized geometry

Cell: 4.2088 4.6416 7.2210 Å, 71.22 90.00 90.00°
Closest atoms and distances in Å follow each position.
Element x y z (fractional)
Ba  0.5000  0.2550  0.3651  2 Fe 3.17, 4 Be 3.41
Fe  0.5000  0.5971  0.6811  2 Be 2.26
Ba  0.0000  0.9905  0.8932  2 Be 3.25, 4 Fe 3.45
Be  0.0000  0.6574  0.5606  2 Fe 2.26

SG	Amm2
calculated formation energy	480	meV per atom

Material: Na2ZnPb2
Method: DFT, PBE
State: optimized geometry

Cell: 7.5303 7.5303 5.0999 Å, 90.00 90.00 90.00°
Closest atoms and distances in Å follow each position.
Element x y z (fractional)
Na  0.1621  0.6621  0.5000  6 Pb 3.25-3.46, 1 Na 3.45
Na  0.3379  0.1621  0.5000  6 Pb 3.25-3.46, 1 Na 3.45
Pb  0.6480  0.1480  0.0000  2 Zn 2.88, 1 Pb 3.15
Zn  0.0000  0.0000  0.0000  4 Pb 2.88
Zn  0.5000  0.5000  0.0000  4 Pb 2.88
Na  0.8379  0.3379  0.5000  6 Pb 3.25-3.46, 1 Na 3.45
Pb  0.8520  0.6480  0.0000  2 Zn 2.88, 1 Pb 3.15
Pb  0.3520  0.8520  0.0000  2 Zn 2.88, 1 Pb 3.15
Na  0.6621  0.8379  0.5000  6 Pb 3.25-3.46, 1 Na 3.45
Pb  0.1480  0.3520  0.0000  2 Zn 2.88, 1 Pb 3.15

distance to the lowest polymorph of the same formula	7	meV/atom
SG	P4/mbm
calculated formation energy	-34	meV per atom

Material: YAlTc2
Method: DFT, PBE
State: optimized geometry

Cell: 5.4369 5.3513 2.8531 Å, 77.84 83.67 118.59°
Closest atoms and distances in Å follow each position.
Element x y z (fractional)
Y  0.0000  0.5000  0.5000  4 Tc 2.75, 2 Y 2.85, 2 Al 2.93
Al  0.5000  0.5000  0.0000  4 Tc 2.75, 2 Al 2.85, 2 Y 2.93
Tc  0.0000  0.0000  0.0000  2 Al 2.75, 2 Y 2.75, 4 Tc 2.85-2.93
Tc  0.5000  0.0000  0.5000  2 Y 2.75, 2 Al 2.75, 4 Tc 2.85-2.93

SG	C2/m
calculated formation energy	150	meV per atom

Material: LiZrIn
Method: DFT, PBE
State: optimized geometry

Cell: 4.0838 4.0838 11.4817 Å, 90.00 90.00 120.00°
Closest atoms and distances in Å follow each position.
Element x y z (fractional)
Li  0.3333  0.6667  0.2500  3 In 2.36
Li  0.6667  0.3333  0.7500  3 In 2.36
Zr  0.0000  0.0000  0.5000  2 In 2.87
In  0.0000  0.0000  0.7500  3 Li 2.36
In  0.0000  0.0000  0.2500  3 Li 2.36
Zr  0.0000  0.0000  0.0000  2 In 2.87

distance to the lowest polymorph of the same formula	1197	meV/atom
SG	P6_3/mmc
calculated formation energy	975	meV per atom

Material: Tb2Pm3Pr6Sm
Method: DFT, PBE
State: optimized geometry

Cell: 6.3670 6.3670 12.0937 Å, 95.04 95.04 120.02°
Closest atoms and distances in Å follow each position.
Element x y z (fractional)
Pr  0.2504  0.2504  0.7519  1 Sm 3.64, 2 Tb 3.64, 6 Pr 3.67-3.68, 3 Pm 3.67-3.68
Pr  0.7496  0.7496  0.2481  1 Sm 3.64, 2 Tb 3.64, 6 Pr 3.67-3.68, 3 Pm 3.67-3.68
Pr  0.5830  0.9168  0.7520  2 Tb 3.63-3.64, 1 Sm 3.64, 3 Pm 3.67-3.68, 6 Pr 3.67-3.68
Pm  0.8332  0.1668  0.5000  6 Pr 3.67-3.68, 6 Pm 3.67-3.68
Pr  0.0832  0.4170  0.2480  2 Tb 3.63-3.64, 1 Sm 3.64, 3 Pm 3.67-3.68, 6 Pr 3.67-3.68
Tb  0.6665  0.3335  0.0000  6 Pr 3.63-3.64, 3 Tb 3.67-3.68, 3 Sm 3.67-3.68
Pr  0.4170  0.0832  0.2480  2 Tb 3.63-3.64, 1 Sm 3.64, 3 Pm 3.67-3.68, 6 Pr 3.67-3.68
Sm  0.0000  0.0000  0.0000  6 Pr 3.64, 6 Tb 3.67-3.68
Pr  0.9168  0.5830  0.7520  2 Tb 3.63-3.64, 1 Sm 3.64, 3 Pm 3.67-3.68, 6 Pr 3.67-3.68
Tb  0.3335  0.6665  0.0000  6 Pr 3.63-3.64, 3 Tb 3.67-3.68, 3 Sm 3.67-3.68
Pm  0.1668  0.8332  0.5000  6 Pr 3.67-3.68, 6 Pm 3.67-3.68
Pm  0.5000  0.5000  0.5000  6 Pr 3.67-3.68, 6 Pm 3.67-3.68

SG	C2/m
calculated formation energy	12	meV per atom

no.,calculated volume (Å³ per atom),calculated total energy (Ha/atom),DOS at the Fermi energy (states/eV/cell)
1,35.7,-0.093,11.9
2,33.3,-0.174,11.8
3,14.2,-0.284,4.1
4,33.4,-0.130,4.0
5,28.9,-0.085,5.1
6,17.3,-0.279,4.2
7,27.6,-0.126,7.8
8,34.8,-0.174,16.7